one) # PBE-GGA Ho5Ga3, optimized geometry
data_Ho5Ga3
_cell_length_a 8.5542
_cell_length_b 8.5542
_cell_length_c 6.4991
_cell_angle_alpha 90.00
_cell_angle_beta 90.00
_cell_angle_gamma 120.00
_space_group_name_H-M_alt 'P 63/m c m'
_space_group_IT_number 193
_space_group_name_Hall '-P 6c 2'
loop_
_atom_site_label
_atom_site_fract_x
_atom_site_fract_y
_atom_site_fract_z
Ho1 0.0000 0.2429 0.2500
Ho2 0.3333 0.6667 0.0000
Ga1 0.0000 0.4018 0.7500
# * DOS at the Fermi energy: 24.57 states/eV/cell

***

two) # PBE-GGA Ho5Ga3, optimized geometry
data_Ho5Ga3
_cell_length_a 7.578
_cell_length_b 7.578
_cell_length_c 14.153
_cell_angle_alpha 90.00
_cell_angle_beta 90.00
_cell_angle_gamma 90.00
_space_group_name_H-M_alt 'I 4/m c m'
_space_group_IT_number 140
_space_group_name_Hall '-I 4 2c'
loop_
_atom_site_label
_atom_site_fract_x
_atom_site_fract_y
_atom_site_fract_z
Ho1 0.000 0.000 0.000
Ho2 0.170 0.330 0.148
Ga1 0.000 0.000 0.250
Ga2 0.122 0.378 0.500
# * DOS at the Fermi energy: 25.25 states/eV/cell

***

Preferred: two); penalty for the next structure: 18 meV/atom.

***

one) # PBE-GGA Ho3Ga4, optimized geometry
data_Ho3Ga4
_cell_length_a 4.092
_cell_length_b 10.835
_cell_length_c 13.973
_cell_angle_alpha 90.00
_cell_angle_beta 90.00
_cell_angle_gamma 90.00
_space_group_name_H-M_alt 'C m c m'
_space_group_IT_number 63
_space_group_name_Hall '-C 2c 2'
loop_
_atom_site_label
_atom_site_fract_x
_atom_site_fract_y
_atom_site_fract_z
Ho1 0.000 0.001 0.250
Ho2 0.000 0.298 0.100
Ga1 0.000 0.000 0.000
Ga2 0.000 0.272 0.750
Ga3 0.000 0.415 0.601
# * DOS at the Fermi energy: 16.59 states/eV/cell

***

two) # PBE-GGA Ho3Ga4, optimized geometry
data_Ho3Ga4
_cell_length_a 4.116
_cell_length_b 4.226
_cell_length_c 18.161
_cell_angle_alpha 90.00
_cell_angle_beta 90.00
_cell_angle_gamma 90.00
_space_group_name_H-M_alt 'I m m m'
_space_group_IT_number 71
_space_group_name_Hall '-I 2 2'
loop_
_atom_site_label
_atom_site_fract_x
_atom_site_fract_y
_atom_site_fract_z
Ho1 0.000 0.000 0.000
Ho2 0.000 0.500 0.315
Ga1 0.000 0.000 0.433
Ga2 0.000 0.500 0.147
# * DOS at the Fermi energy: 10.11 states/eV/cell

***

Preferred: two); penalty for the next structure: 35 meV/atom.

***

one) # PBE-GGA Ho2GaI, optimized geometry
data_Ho2GaI
_cell_length_a 4.2564
_cell_length_b 4.2564
_cell_length_c 22.0441
_cell_angle_alpha 90.00
_cell_angle_beta 90.00
_cell_angle_gamma 120.00
_space_group_name_H-M_alt 'R -3 m'
_space_group_IT_number 166
_space_group_name_Hall '-R 3 2"'
loop_
_atom_site_label
_atom_site_fract_x
_atom_site_fract_y
_atom_site_fract_z
Ho1 0.0000 0.0000 0.2328
Ga1 0.0000 0.0000 0.5000
I1 0.0000 0.0000 0.0000
# * DOS at the Fermi energy: 7.43 states/eV/cell

***

two) # PBE-GGA Ho2GaI, optimized geometry
data_Ho2GaI
_cell_length_a 4.2117
_cell_length_b 4.2117
_cell_length_c 22.7460
_cell_angle_alpha 90.00
_cell_angle_beta 90.00
_cell_angle_gamma 120.00
_space_group_name_H-M_alt 'R 3 m'
_space_group_IT_number 160
_space_group_name_Hall 'R 3 -2"'
loop_
_atom_site_label
_atom_site_fract_x
_atom_site_fract_y
_atom_site_fract_z
Ho1 0.0000 0.0000 0.0000
Ho2 0.0000 0.0000 0.2032
Ga1 0.0000 0.0000 0.6033
I1 0.0000 0.0000 0.4332
# * DOS at the Fermi energy: 10.27 states/eV/cell

***

Preferred: one); penalty for the next structure: 41 meV/atom.

***

one) # PBE-GGA HoIn2Ga, optimized geometry
data_HoIn2Ga
_cell_length_a 4.455
_cell_length_b 4.455
_cell_length_c 4.657
_cell_angle_alpha 90.00
_cell_angle_beta 90.00
_cell_angle_gamma 90.00
_space_group_name_H-M_alt 'P 4/m m m'
_space_group_IT_number 123
_space_group_name_Hall '-P 4 2'
loop_
_atom_site_label
_atom_site_fract_x
_atom_site_fract_y
_atom_site_fract_z
Ho1 0.000 0.000 0.000
In1 0.000 0.500 0.500
Ga1 0.500 0.500 0.000
# * DOS at the Fermi energy: 1.46 states/eV/cell

***

two) # PBE-GGA HoIn2Ga, optimized geometry
data_HoIn2Ga
_cell_length_a 3.3907
_cell_length_b 3.3907
_cell_length_c 32.8170
_cell_angle_alpha 90.00
_cell_angle_beta 90.00
_cell_angle_gamma 120.00
_space_group_name_H-M_alt 'R -3 m'
_space_group_IT_number 166
_space_group_name_Hall '-R 3 2"'
loop_
_atom_site_label
_atom_site_fract_x
_atom_site_fract_y
_atom_site_fract_z
Ho1 0.0000 0.0000 0.0000
In1 0.0000 0.0000 0.0953
Ga1 0.0000 0.0000 0.5000
# * DOS at the Fermi energy: 6.69 states/eV/cell

***

Preferred: one); penalty for the next structure: 545 meV/atom.

***

one) # PBE-GGA Ho2InGa, optimized geometry
data_Ho2InGa
_cell_length_a 3.551
_cell_length_b 3.551
_cell_length_c 7.742
_cell_angle_alpha 90.00
_cell_angle_beta 90.00
_cell_angle_gamma 90.00
_space_group_name_H-M_alt 'P 4/m m m'
_space_group_IT_number 123
_space_group_name_Hall '-P 4 2'
loop_
_atom_site_label
_atom_site_fract_x
_atom_site_fract_y
_atom_site_fract_z
Ho1 0.000 0.000 0.234
In1 0.500 0.500 0.500
Ga1 0.500 0.500 0.000
# * DOS at the Fermi energy: 1.73 states/eV/cell

***

two) # PBE-GGA Ho2InGa, optimized geometry
data_Ho2InGa
_cell_length_a 7.318
_cell_length_b 7.318
_cell_length_c 7.318
_cell_angle_alpha 90.00
_cell_angle_beta 90.00
_cell_angle_gamma 90.00
_space_group_name_H-M_alt 'F m -3 m'
_space_group_IT_number 225
_space_group_name_Hall '-F 4 2 3'
loop_
_atom_site_label
_atom_site_fract_x
_atom_site_fract_y
_atom_site_fract_z
Ho1 0.250 0.250 0.250
In1 0.000 0.000 0.000
Ga1 0.000 0.000 0.500
# * DOS at the Fermi energy: 5.52 states/eV/cell

***

Preferred: one); penalty for the next structure: 19 meV/atom.

***

one) # PBE-GGA HoInGa2, optimized geometry
data_HoInGa2
_cell_length_a 4.5186
_cell_length_b 4.5186
_cell_length_c 15.2558
_cell_angle_alpha 90.00
_cell_angle_beta 90.00
_cell_angle_gamma 120.00
_space_group_name_H-M_alt 'R -3 m'
_space_group_IT_number 166
_space_group_name_Hall '-R 3 2"'
loop_
_atom_site_label
_atom_site_fract_x
_atom_site_fract_y
_atom_site_fract_z
Ho1 0.0000 0.0000 0.0000
In1 0.0000 0.0000 0.5000
Ga1 0.0000 0.0000 0.2386
# * DOS at the Fermi energy: 4.72 states/eV/cell

***

two) # PBE-GGA HoInGa2, optimized geometry
data_HoInGa2
_cell_length_a 4.466
_cell_length_b 4.466
_cell_length_c 4.256
_cell_angle_alpha 90.00
_cell_angle_beta 90.00
_cell_angle_gamma 90.00
_space_group_name_H-M_alt 'P 4/m m m'
_space_group_IT_number 123
_space_group_name_Hall '-P 4 2'
loop_
_atom_site_label
_atom_site_fract_x
_atom_site_fract_y
_atom_site_fract_z
Ho1 0.000 0.000 0.000
In1 0.500 0.500 0.000
Ga1 0.000 0.500 0.500
# * DOS at the Fermi energy: 1.98 states/eV/cell

***

Preferred: two); penalty for the next structure: 178 meV/atom.